# 1
CePaSb2: optimized geometry, PBE-GGA.

Fermi-level density of states: 11.10 states/eV/f.u.
energy relative to the elements, uncorrected: -0.736 eV/atom
total DFT energy (no corrections): -6.655 eV/atom
space group: R-3m, No. 166

```
8
Lattice="4.238 0.000 -1.279 -0.404 7.537 -1.339 0.012 0.070 7.703" Properties=species:S:1:pos:R:3 pbc="T T T"
Ce 0.006 0.035 3.852
Ce 1.923 3.804 2.543
Pa 3.078 1.884 -1.294
Pa 0.756 5.653 -1.324
Sb 3.442 4.718 -0.082
Sb 1.527 0.950 1.226
Sb 2.320 6.658 3.859
Sb 0.404 2.889 5.168
```



# 2
Ce2PaSb: optimized geometry, PBE-GGA.

Fermi-level density of states: 10.90 states/eV/f.u.
energy relative to the elements, uncorrected: -0.421 eV/atom
total DFT energy (no corrections): -6.792 eV/atom
space group: P4/mmm, No. 123

```
4
Lattice="-0.318 -1.170 4.449 0.102 -4.569 -1.195 4.711 0.016 0.341" Properties=species:S:1:pos:R:3 pbc="T T T"
Sb -0.159 -0.585 2.225
Pa 2.247 -2.862 1.798
Ce 2.356 0.008 0.171
Ce 0.051 -2.284 -0.597
```



# 3
CePaSb2: optimized geometry, PBE-GGA.

Fermi-level density of states: 9.45 states/eV/f.u.
energy relative to the elements, uncorrected: -0.649 eV/atom
total DFT energy (no corrections): -6.567 eV/atom
space group: P4/mmm, No. 123

```
4
Lattice="-2.924 -2.388 0.028 1.429 -1.784 -3.005 3.859 -4.671 4.608" Properties=species:S:1:pos:R:3 pbc="T T T"
Sb 2.934 -3.551 3.503
Sb 0.925 -1.119 1.104
Pa -0.748 -2.086 -1.489
Ce 1.182 -4.422 0.815
```



# 4
CePaSb: optimized geometry, PBE-GGA.

Fermi-level density of states: 7.34 states/eV/f.u.
energy relative to the elements, uncorrected: -0.403 eV/atom
total DFT energy (no corrections): -6.920 eV/atom
space group: I4mm, No. 107

```
3
Lattice="4.175 0.000 0.000 0.000 4.175 0.000 -2.087 -2.087 4.688" Properties=species:S:1:pos:R:3 pbc="T T T"
Sb 2.087 2.087 4.217
Pa 0.000 0.000 2.907
Ce 2.087 2.087 0.846
```